Record 1
Below is crystalline MnVNiSn at its relaxed geometry, with properties calculated at the PBE-GGA level.

Unit cell a=4.318 b=4.318 c=4.318 alpha=60.00 beta=60.00 gamma=60.00
Atoms (fractional coordinates):
Mn1 0.000 0.000 0.000
V1 0.250 0.250 0.250
Ni1 0.500 0.500 0.500
Sn1 0.750 0.750 0.750

Values from the calculation:
**Symmetry**: F-43m, No. 216
**Energy relative to the elements**: -13 meV per atom

***

Record 2
Below is crystalline SrMnNi at its relaxed geometry, with properties calculated at the PBE-GGA level.

Unit cell a=4.667 b=4.667 c=4.667 alpha=60.00 beta=60.00 gamma=60.00
Atoms (fractional coordinates):
Sr1 0.000 0.000 0.000
Mn1 0.500 0.500 0.500
Ni1 0.750 0.750 0.750

Values from the calculation:
**Symmetry**: F-43m, No. 216
**Energy relative to the elements**: 501 meV per atom
**Polymorph energy (0 for the lowest one)**: 0.240 eV per atom

***

Record 3
Below is crystalline SrMn2Ni at its relaxed geometry, with properties calculated at the PBE-GGA level.

Unit cell a=3.285 b=4.334 c=5.528 alpha=90.00 beta=102.97 gamma=90.00
Atoms (fractional coordinates):
Sr1 0.000 0.000 0.000
Mn1 0.284 0.500 0.616
Mn2 0.716 0.500 0.384
Ni1 0.500 0.000 0.500

Values from the calculation:
**Symmetry**: P2/m, No. 10
**Energy relative to the elements**: 662 meV per atom

***

Record 4
Below is crystalline SrMnNi at its relaxed geometry, with properties calculated at the PBE-GGA level.

Unit cell a=4.881 b=4.881 c=4.881 alpha=60.00 beta=60.00 gamma=60.00
Atoms (fractional coordinates):
Sr1 0.000 0.000 0.000
Mn1 0.250 0.250 0.250
Ni1 0.750 0.750 0.750

Values from the calculation:
**Symmetry**: F-43m, No. 216
**Energy relative to the elements**: 1224 meV per atom
**Polymorph energy (0 for the lowest one)**: 0.963 eV per atom

***

- energy relative to the elements of number 2 (SrMnNi)?
  501 meV per atom